Compound: AgRu2Pt
Source: the Alexandria database
Functional: PBE
Structure: relaxed

Values from the calculation:
Excess energy over the best structure of this formula in the dataset, meV/atom: 315

```
data_AgRu2Pt
_space_group_name_H-M_alt 'P 4/m m m'
_space_group_IT_number 123
_space_group_name_Hall '-P 4 2'
_cell_length_a 3.8737
_cell_length_b 3.8737
_cell_length_c 4.0710
_cell_angle_alpha 90.00
_cell_angle_beta 90.00
_cell_angle_gamma 90.00
loop_
_atom_site_label
_atom_site_type_symbol
_atom_site_fract_x
_atom_site_fract_y
_atom_site_fract_z
Ag1 Ag 0.0000 0.0000 0.0000
Ru1 Ru 0.0000 0.5000 0.5000
Pt1 Pt 0.5000 0.5000 0.0000
```


Compound: Ag2RuPt
Source: the Alexandria database
Functional: PBE
Structure: relaxed

Values from the calculation:
Excess energy over the best structure of this formula in the dataset, meV/atom: 217

```
data_Ag2RuPt
_space_group_name_H-M_alt 'I m m 2'
_space_group_IT_number 44
_cell_length_a 2.8179
_cell_length_b 4.8938
_cell_length_c 9.7102
_cell_angle_alpha 90.00
_cell_angle_beta 90.00
_cell_angle_gamma 90.00
loop_
_space_group_symop_operation_xyz
'x,y,z'
'-x,-y,z'
'-x,y,z'
'x,-y,z'
'x+1/2,y+1/2,z+1/2'
'-x+1/2,-y+1/2,z+1/2'
'-x+1/2,y+1/2,z+1/2'
'x+1/2,-y+1/2,z+1/2'
loop_
_atom_site_label
_atom_site_type_symbol
_atom_site_fract_x
_atom_site_fract_y
_atom_site_fract_z
Ag1 Ag 0.0000 0.0000 0.0000
Ag2 Ag 0.0000 0.5000 0.2361
Ru1 Ru 0.0000 0.0000 0.4783
Pt1 Pt 0.0000 0.5000 0.7547
```


Compound: Ag2RuPt
Source: the Alexandria database
Functional: PBE
Structure: relaxed

Values from the calculation:
Excess energy over the best structure of this formula in the dataset, meV/atom: 149

```
data_Ag2RuPt
_space_group_name_H-M_alt 'P m m m'
_space_group_IT_number 47
_cell_length_a 2.7845
_cell_length_b 4.7761
_cell_length_c 4.9568
_cell_angle_alpha 90.00
_cell_angle_beta 90.00
_cell_angle_gamma 90.00
loop_
_space_group_symop_operation_xyz
'x,y,z'
'-x,-y,-z'
'-x,-y,z'
'x,y,-z'
'x,-y,-z'
'-x,y,z'
'-x,y,-z'
'x,-y,z'
loop_
_atom_site_label
_atom_site_type_symbol
_atom_site_fract_x
_atom_site_fract_y
_atom_site_fract_z
Ag1 Ag 0.0000 0.0000 0.0000
Ag2 Ag 0.5000 0.5000 0.0000
Ru1 Ru 0.0000 0.5000 0.5000
Pt1 Pt 0.5000 0.0000 0.5000
```


Compound: AgRu2Pt
Source: the Alexandria database
Functional: PBE
Structure: relaxed

Values from the calculation:
Excess energy over the best structure of this formula in the dataset, meV/atom: 266

```
data_AgRu2Pt
_space_group_name_H-M_alt 'P m m m'
_space_group_IT_number 47
_cell_length_a 2.7242
_cell_length_b 4.0120
_cell_length_c 5.5874
_cell_angle_alpha 90.00
_cell_angle_beta 90.00
_cell_angle_gamma 90.00
loop_
_space_group_symop_operation_xyz
'x,y,z'
'-x,-y,-z'
'-x,-y,z'
'x,y,-z'
'x,-y,-z'
'-x,y,z'
'-x,y,-z'
'x,-y,z'
loop_
_atom_site_label
_atom_site_type_symbol
_atom_site_fract_x
_atom_site_fract_y
_atom_site_fract_z
Ag1 Ag 0.0000 0.0000 0.0000
Ru1 Ru 0.5000 0.5000 0.2664
Pt1 Pt 0.0000 0.0000 0.5000
```


Compound: AgRuPt
Source: the Alexandria database
Functional: PBE
Structure: relaxed

Values from the calculation:
Excess energy over the best structure of this formula in the dataset, meV/atom: 370

```
data_AgRuPt
_space_group_name_H-M_alt 'P -6 m 2'
_space_group_IT_number 187
_space_group_name_Hall 'P -6 2'
_cell_length_a 4.5406
_cell_length_b 4.5406
_cell_length_c 2.6940
_cell_angle_alpha 90.00
_cell_angle_beta 90.00
_cell_angle_gamma 120.00
loop_
_atom_site_label
_atom_site_type_symbol
_atom_site_fract_x
_atom_site_fract_y
_atom_site_fract_z
Ag1 Ag 0.0000 0.0000 0.0000
Ru1 Ru 0.3333 0.6667 0.5000
Pt1 Pt 0.6667 0.3333 0.5000
```


Compound: AgRuPt
Source: the Alexandria database
Functional: PBE
Structure: relaxed

Values from the calculation:
Excess energy over the best structure of this formula in the dataset, meV/atom: 217

```
data_AgRuPt
_space_group_name_H-M_alt 'I 4 m m'
_space_group_IT_number 107
_space_group_name_Hall 'I 4 -2'
_cell_length_a 2.7618
_cell_length_b 2.7618
_cell_length_c 12.4370
_cell_angle_alpha 90.00
_cell_angle_beta 90.00
_cell_angle_gamma 90.00
loop_
_atom_site_label
_atom_site_type_symbol
_atom_site_fract_x
_atom_site_fract_y
_atom_site_fract_z
Ag1 Ag 0.0000 0.0000 0.0000
Ru1 Ru 0.0000 0.0000 0.3256
Pt1 Pt 0.0000 0.0000 0.6785
```


Compound: Ag4RuPt
Source: the Alexandria database
Functional: PBE
Structure: relaxed

```
data_Ag4RuPt
_space_group_name_H-M_alt 'F -4 3 m'
_space_group_IT_number 216
_space_group_name_Hall 'F -4 2 3'
_cell_length_a 7.5115
_cell_length_b 7.5115
_cell_length_c 7.5115
_cell_angle_alpha 90.00
_cell_angle_beta 90.00
_cell_angle_gamma 90.00
loop_
_atom_site_label
_atom_site_type_symbol
_atom_site_fract_x
_atom_site_fract_y
_atom_site_fract_z
Ag1 Ag 0.1250 0.1250 0.1250
Ru1 Ru 0.0000 0.0000 0.5000
Pt1 Pt 0.2500 0.2500 0.7500
```


Compound: Ag2RuPt
Source: the Alexandria database
Functional: PBE
Structure: relaxed

Values from the calculation:
Excess energy over the best structure of this formula in the dataset, meV/atom: 111

```
data_Ag2RuPt
_space_group_name_H-M_alt 'C 1 m 1'
_space_group_IT_number 8
_cell_length_a 9.2868
_cell_length_b 2.7650
_cell_length_c 5.1369
_cell_angle_alpha 90.00
_cell_angle_beta 98.54
_cell_angle_gamma 90.00
loop_
_space_group_symop_operation_xyz
'x,y,z'
'x,-y,z'
'x+1/2,y+1/2,z'
'x+1/2,-y+1/2,z'
loop_
_atom_site_label
_atom_site_type_symbol
_atom_site_fract_x
_atom_site_fract_y
_atom_site_fract_z
Ag1 Ag 0.0000 0.0000 0.0000
Ag2 Ag 0.2460 0.0000 0.7828
Ru1 Ru 0.2516 0.5000 0.3022
Pt1 Pt 0.4926 0.0000 0.4802
```


Number 1: calculated density 13.7 Mg/m³, energy relative to the elements 0.43 eV per atom. Number 2: calculated density 12.7 Mg/m³, energy relative to the elements 0.39 eV per atom. Number 3: calculated density 12.9 Mg/m³, energy relative to the elements 0.32 eV per atom. Number 4: calculated density 13.7 Mg/m³, energy relative to the elements 0.39 eV per atom. Number 5: calculated density 13.9 Mg/m³, energy relative to the elements 0.38 eV per atom. Number 6: calculated density 14.1 Mg/m³, energy relative to the elements 0.23 eV per atom. Number 7: calculated density 11.4 Mg/m³, energy relative to the elements 0.61 eV per atom. Number 8: calculated density 13.0 Mg/m³, energy relative to the elements 0.29 eV per atom.